Entry 1:
Below is an optimized crystal structure of Tl2Ag4Cl9, with properties calculated at the GGA-PBE level.

Structure (extended XYZ):
```
30
Lattice="6.9156 0.0000 0.0000 3.4530 5.9936 0.0000 0.0525 0.0424 19.1682" Properties=species:S:1:pos:R:3 pbc="T T T"
Tl 6.9368 0.0247 6.8759
Tl 3.4844 6.0113 12.2924
Tl 3.5031 6.0207 16.2970
Tl 6.9180 0.0153 2.8713
Ag 3.4610 2.0228 3.5010
Ag 3.5100 2.0318 18.8124
Ag 3.4805 2.0138 9.3992
Ag 3.5024 2.0213 13.1260
Ag 6.9188 4.0147 6.0422
Ag 6.9407 4.0222 9.7690
Ag 6.9112 4.0042 0.3559
Ag 6.9602 4.0132 15.6672
Cl 1.1662 1.8391 14.5782
Cl 1.2663 1.9384 1.5419
Cl 2.3158 3.7289 11.1775
Cl 4.5102 4.1437 14.5882
Cl 5.5936 5.9518 4.5790
Cl 4.4880 3.9468 1.5530
Cl 5.8034 5.8879 17.6207
Cl 2.5934 0.1253 11.1823
Cl 4.8547 3.8486 7.9691
Cl 5.5665 2.1874 11.1991
Cl 7.8277 5.9107 7.9859
Cl 4.6177 0.1481 1.5475
Cl 5.9331 2.0892 17.6153
Cl 4.8276 0.0842 14.5893
Cl 5.9110 1.8923 4.5800
Cl 8.1053 2.3071 7.9907
Cl 9.1548 4.0976 17.6263
Cl 9.2550 4.1969 4.5900
```

## Properties
* E_tot: -2.769 eV/atom
* uncorrected formation energy: -0.58 eV/atom

***

Entry 2:
Below is an optimized crystal structure of TaBe2Os, with properties calculated at the GGA-PBE level.

Structure (extended XYZ):
```
4
Lattice="2.9561 0.0000 0.0000 0.0000 2.9561 0.0000 0.0000 0.0000 5.5947" Properties=species:S:1:pos:R:3 pbc="T T T"
Ta 0.0000 0.0000 0.0000
Be 1.4781 1.4781 1.6800
Be 1.4781 1.4781 3.9147
Os 0.0000 0.0000 2.7973
```

## Properties
* E_tot: -7.731 eV/atom
* distance to the lowest polymorph of the same formula: 203 meV per atom
* formation enthalpy at 0 K: -0.10 eV/atom

***

Entry 3:
Below is an optimized crystal structure of HfRhF2, with properties calculated at the GGA-PBE level.

Structure (extended XYZ):
```
4
Lattice="1.4091 0.8136 9.8261 -1.4091 0.8136 9.8261 0.0000 -1.6271 9.8261" Properties=species:S:1:pos:R:3 pbc="T T T"
Hf 0.0000 0.0000 0.0000
Rh 0.0000 0.0000 14.7392
F 0.0000 0.0000 11.3540
F 0.0000 0.0000 18.1244
```

## Properties
* E_tot: -6.701 eV/atom
* uncorrected formation energy: -1.44 eV/atom
* distance to the lowest polymorph of the same formula: 188 meV per atom

***

Entry 4:
Below is an optimized crystal structure of Ta2ZnCo, with properties calculated at the GGA-PBE level.

Structure (extended XYZ):
```
4
Lattice="2.8689 0.0000 0.0000 0.0000 2.8689 0.0000 0.0000 0.0000 7.4280" Properties=species:S:1:pos:R:3 pbc="T T T"
Ta 0.0000 0.0000 0.0000
Ta 1.4345 1.4345 2.3286
Zn 0.0000 0.0000 4.3205
Co 1.4345 1.4345 5.8464
```

## Properties
* E_tot: -8.051 eV/atom
* formation enthalpy at 0 K: -0.03 eV/atom

***

Entry 5:
Below is an optimized crystal structure of BaMg2Pt, with properties calculated at the GGA-PBE level.

Structure (extended XYZ):
```
4
Lattice="3.6889 0.0000 0.0000 0.0000 3.6889 0.0000 0.0000 0.0000 7.8011" Properties=species:S:1:pos:R:3 pbc="T T T"
Ba 0.0000 0.0000 0.0000
Mg 0.0000 0.0000 4.5662
Mg 1.8444 1.8444 2.8341
Pt 1.8444 1.8444 5.5424
```

## Properties
* E_tot: -3.172 eV/atom
* formation enthalpy at 0 K: -0.38 eV/atom

***

Entry 6:
Below is an optimized crystal structure of LaY2Zn2In2, with properties calculated at the GGA-PBE level.

Structure (extended XYZ):
```
7
Lattice="2.3712 1.3690 9.4461 -2.3712 1.3690 9.4461 0.0000 -2.7381 9.4461" Properties=species:S:1:pos:R:3 pbc="T T T"
La 0.0000 0.0000 0.0000
Y 0.0000 0.0000 3.6606
Y 0.0000 0.0000 24.6778
Zn 0.0000 0.0000 11.5278
Zn 0.0000 0.0000 16.8106
In 0.0000 0.0000 7.3132
In 0.0000 0.0000 21.0252
```

## Properties
* E_tot: -4.016 eV/atom
* formation enthalpy at 0 K: -0.32 eV/atom

***

Entry 7:
Below is an optimized crystal structure of Sm6Er2Tm, with properties calculated at the GGA-PBE level.

Structure (extended XYZ):
```
18
Lattice="10.7395 0.0000 0.0000 0.0000 10.7395 0.0000 0.0000 0.0000 5.0823" Properties=species:S:1:pos:R:3 pbc="T T T"
Sm 0.0070 3.5618 0.0000
Sm 1.7748 1.7748 2.5411
Sm 1.8079 5.3768 2.5411
Sm 3.5618 0.0070 0.0000
Sm 3.5950 7.1446 0.0000
Sm 5.3627 8.9316 2.5411
Sm 5.3768 1.8079 2.5411
Sm 7.1446 3.5950 0.0000
Sm 7.1777 10.7325 0.0000
Sm 8.9316 5.3627 2.5411
Sm 8.9647 8.9647 2.5411
Sm 10.7325 7.1777 0.0000
Er 1.7859 8.9536 2.5411
Er 3.5839 3.5839 0.0000
Er 7.1557 7.1557 0.0000
Er 8.9536 1.7859 2.5411
Tm 0.0000 0.0000 0.0000
Tm 5.3698 5.3698 2.5411
```

## Properties
* E_tot: -4.638 eV/atom
* distance to the lowest polymorph of the same formula: 0 meV per atom
* formation enthalpy at 0 K: 0.02 eV/atom

***

Entry 8:
Below is an optimized crystal structure of Al2AgF8, with properties calculated at the GGA-PBE level.

Structure (extended XYZ):
```
11
Lattice="4.8260 -4.1403 0.0000 4.8260 4.1403 0.0000 -1.2002 0.0000 3.4230" Properties=species:S:1:pos:R:3 pbc="T T T"
Al 4.8260 2.7119 0.0000
Al 4.8260 -2.7119 0.0000
Ag 4.2259 0.0000 1.7115
F 1.1139 0.0000 0.3860
F 4.2259 2.7120 1.7115
F 2.5279 1.3650 2.9128
F 5.9238 1.3650 0.5103
F 2.5279 -1.3650 2.9128
F 5.9238 -1.3650 0.5103
F 4.2259 -2.7120 1.7115
F 7.3378 0.0000 3.0370
```

## Properties
* E_tot: -5.013 eV/atom
* uncorrected formation energy: -2.71 eV/atom
* distance to the lowest polymorph of the same formula: 7 meV per atom

***

Entry 9:
Below is an optimized crystal structure of CeSc2Ga3, with properties calculated at the GGA-PBE level.

Structure (extended XYZ):
```
6
Lattice="3.2340 0.0000 0.0000 0.0000 3.2340 0.0000 0.0000 0.0000 11.5491" Properties=species:S:1:pos:R:3 pbc="T T T"
Ce 0.0000 0.0000 0.0000
Sc 0.0000 0.0000 3.9616
Sc 0.0000 0.0000 7.5874
Ga 1.6170 1.6170 2.1403
Ga 1.6170 1.6170 5.7745
Ga 1.6170 1.6170 9.4087
```

## Properties
* E_tot: -5.178 eV/atom
* formation enthalpy at 0 K: -0.57 eV/atom

***

Entry 10:
Below is an optimized crystal structure of Ba2NiHg, with properties calculated at the GGA-PBE level.

Structure (extended XYZ):
```
4
Lattice="4.7510 0.0000 0.0000 0.0000 4.7205 0.0000 -2.3677 0.0000 6.2813" Properties=species:S:1:pos:R:3 pbc="T T T"
Ba 0.0000 0.0000 0.0000
Ba 0.0043 2.3603 3.4898
Ni 2.3769 2.3603 1.1365
Hg 2.3779 0.0000 2.4976
```

## Properties
* E_tot: -2.648 eV/atom
* formation enthalpy at 0 K: -0.17 eV/atom

***

Entry 11:
Below is an optimized crystal structure of ZnFe8Mo3, with properties calculated at the GGA-PBE level.

Structure (extended XYZ):
```
12
Lattice="2.3615 1.3634 7.7231 -2.3615 1.3634 7.7231 0.0000 -2.7269 7.7231" Properties=species:S:1:pos:R:3 pbc="T T T"
Zn 0.0000 0.0000 0.0000
Fe 0.0000 0.0000 4.3470
Fe -1.1845 -0.6839 17.8567
Fe 0.0000 -1.3652 14.0155
Fe -1.1823 0.6826 14.0155
Fe 0.0000 0.0000 15.9379
Fe 1.1845 -0.6839 17.8567
Fe 0.0000 1.3678 17.8567
Fe 1.1823 0.6826 14.0155
Mo 0.0000 0.0000 8.6893
Mo 0.0000 0.0000 11.6115
Mo 0.0000 0.0000 20.2431
```

## Properties
* E_tot: -8.417 eV/atom
* formation enthalpy at 0 K: 0.04 eV/atom

***

Entry 12:
Below is an optimized crystal structure of LaCe2Zn, with properties calculated at the GGA-PBE level.

Structure (extended XYZ):
```
4
Lattice="0.0000 3.7318 3.7318 3.7318 0.0000 3.7318 3.7318 3.7318 0.0000" Properties=species:S:1:pos:R:3 pbc="T T T"
La 0.0000 0.0000 0.0000
Ce 1.8659 1.8659 1.8659
Ce 5.5978 5.5978 5.5978
Zn 3.7318 3.7318 3.7318
```

## Properties
* E_tot: -4.410 eV/atom
* distance to the lowest polymorph of the same formula: 135 meV per atom
* formation enthalpy at 0 K: 0.11 eV/atom

***

Entry 13:
Below is an optimized crystal structure of YCu2, with properties calculated at the GGA-PBE level.

Structure (extended XYZ):
```
12
Lattice="5.2903 0.0000 0.0000 -2.6451 4.5815 0.0000 0.0000 0.0000 8.5091" Properties=species:S:1:pos:R:3 pbc="T T T"
Y 0.0000 3.0543 0.4705
Y 0.0000 3.0543 3.7841
Y 2.6451 1.5272 4.7250
Y 2.6451 1.5272 8.0387
Cu 0.0000 0.0000 0.0000
Cu 0.0000 0.0000 4.2546
Cu 0.0000 1.5126 6.3818
Cu -1.3352 3.8252 6.3818
Cu 1.3099 0.7563 2.1273
Cu 1.3352 3.8252 6.3818
Cu 3.9803 0.7563 2.1273
Cu 2.6451 3.0689 2.1273
```

## Properties
* E_tot: -5.079 eV/atom
* formation enthalpy at 0 K: -0.19 eV/atom

***

Entry 14:
Below is an optimized crystal structure of La2TaBe, with properties calculated at the GGA-PBE level.

Structure (extended XYZ):
```
4
Lattice="1.6855 0.9731 9.9514 -1.6855 0.9731 9.9514 0.0000 -1.9462 9.9514" Properties=species:S:1:pos:R:3 pbc="T T T"
La 0.0000 0.0000 7.3004
La 0.0000 0.0000 22.5538
Ta 0.0000 0.0000 0.0000
Be 0.0000 0.0000 14.9271
```

## Properties
* E_tot: -5.632 eV/atom
* formation enthalpy at 0 K: 0.73 eV/atom

***

Entry 15:
Below is an optimized crystal structure of Ac3Pr2S8, with properties calculated at the GGA-PBE level.

Structure (extended XYZ):
```
13
Lattice="7.3053 -4.2924 0.0000 7.3053 4.2924 0.0000 -2.6996 0.0000 6.7340" Properties=species:S:1:pos:R:3 pbc="T T T"
Ac 0.0000 0.0000 0.0000
Ac 5.9555 2.0115 3.3670
Ac 5.9555 -2.0115 3.3670
Pr 1.6205 0.0000 5.7343
Pr 10.2905 0.0000 0.9997
S 5.1701 2.3364 0.5427
S 0.5451 0.0000 3.0131
S 6.7409 2.3364 6.1913
S 3.9472 0.0000 4.1465
S 7.9638 0.0000 2.5876
S 5.1701 -2.3364 0.5427
S 11.3659 0.0000 3.7209
S 6.7409 -2.3364 6.1913
```

## Properties
* E_tot: -6.065 eV/atom
* uncorrected formation energy: -1.84 eV/atom

***

Entry 16:
Below is an optimized crystal structure of TbCd2Cu, with properties calculated at the GGA-PBE level.

Structure (extended XYZ):
```
4
Lattice="1.5937 0.9201 10.5110 -1.5937 0.9201 10.5110 0.0000 -1.8403 10.5110" Properties=species:S:1:pos:R:3 pbc="T T T"
Tb 0.0000 0.0000 0.0000
Cd 0.0000 0.0000 3.1669
Cd 0.0000 0.0000 28.3662
Cu 0.0000 0.0000 15.7665
```

## Properties
* E_tot: -2.361 eV/atom
* formation enthalpy at 0 K: 0.28 eV/atom

***

Entry 17:
Below is an optimized crystal structure of BeReTc2, with properties calculated at the GGA-PBE level.

Structure (extended XYZ):
```
4
Lattice="-1.4919 2.0942 4.2298 1.4919 -2.0942 4.2298 1.4919 2.0942 -4.2298" Properties=species:S:1:pos:R:3 pbc="T T T"
Be 0.0000 0.0000 0.0000
Re 0.0000 0.0000 4.2298
Tc 1.4919 0.0000 2.0077
Tc 0.0000 2.0942 2.2221
```

## Properties
* E_tot: -9.206 eV/atom
* formation enthalpy at 0 K: 0.02 eV/atom

***

Entry 18:
Below is an optimized crystal structure of LiTaGe2As, with properties calculated at the GGA-PBE level.

Structure (extended XYZ):
```
5
Lattice="5.0961 0.0000 0.0000 0.0000 5.0961 0.0000 0.0000 0.0000 4.8560" Properties=species:S:1:pos:R:3 pbc="T T T"
Li 0.0000 0.0000 0.0000
Ta 2.5481 2.5481 0.0000
Ge 0.0000 2.5481 2.4280
Ge 2.5481 0.0000 2.4280
As 2.5481 2.5481 2.4280
```

## Properties
* E_tot: -4.646 eV/atom
* distance to the lowest polymorph of the same formula: 119 meV per atom
* formation enthalpy at 0 K: 0.88 eV/atom

***

Entry 19:
Below is an optimized crystal structure of LiFeTcSn2, with properties calculated at the GGA-PBE level.

Structure (extended XYZ):
```
5
Lattice="4.8819 0.0000 0.0000 0.0000 4.8819 0.0000 0.0000 0.0000 4.5305" Properties=species:S:1:pos:R:3 pbc="T T T"
Li 0.0000 0.0000 0.0000
Fe 2.4410 2.4410 2.2652
Tc 2.4410 2.4410 0.0000
Sn 0.0000 2.4410 2.2652
Sn 2.4410 0.0000 2.2652
```

## Properties
* E_tot: -5.129 eV/atom
* formation enthalpy at 0 K: 0.62 eV/atom

***

Entry 20:
Below is an optimized crystal structure of LiLa2GaNi6, with properties calculated at the GGA-PBE level.

Structure (extended XYZ):
```
10
Lattice="4.6551 -2.6928 0.0000 4.6551 2.6928 0.0000 -3.0872 0.0000 7.0153" Properties=species:S:1:pos:R:3 pbc="T T T"
Li 0.0000 0.0000 0.0000
La 0.0103 0.0000 5.5651
La 6.2128 0.0000 1.4502
Ga 3.1116 0.0000 3.5076
Ni 2.2763 1.4494 5.1217
Ni 3.9468 1.4494 1.8936
Ni 1.4482 0.0000 1.8840
Ni 4.7749 0.0000 5.1313
Ni 2.2763 -1.4494 5.1217
Ni 3.9468 -1.4494 1.8936
```

## Properties
* E_tot: -5.029 eV/atom
* formation enthalpy at 0 K: -0.08 eV/atom